# 1
Material: K4Rb2Na2Cd
Method: DFT, PBE
State: relaxed

Values from the calculation:
The value obtained for the total magnetic moment is 0.00 μB per formula unit. The value obtained for the formation energy is 0.18 eV per formula unit. The density comes out at 1.5 g cm⁻³. The density of states at the Fermi level comes out at 5.98 states/eV/cell.

Lattice parameters (Å, degrees): 6.515 9.033 11.070 100.76 107.08 110.69
Fractional positions:
K: 0.017 0.389 0.146
K: 0.222 0.330 0.615
K: 0.778 0.670 0.385
K: 0.983 0.611 0.854
Rb: 0.431 0.055 0.302
Rb: 0.569 0.945 0.698
Na: 0.270 0.112 0.939
Na: 0.730 0.888 0.061
Cd: 0.500 0.500 0.000


# 2
Material: NdHo2Sb
Method: DFT, PBE
State: relaxed

Values from the calculation:
The value obtained for the total magnetic moment is 0.00 μB per formula unit. The density comes out at 8.4 g cm⁻³. The density of states at the Fermi level comes out at 4.50 states/eV/cell. As for the energy above the most stable polymorph in this dataset: 89.8 meV per atom.

Lattice parameters (Å, degrees): 3.976 3.976 7.418 90.00 90.00 90.00
Fractional positions:
Nd: 0.000 0.000 0.000
Ho: 0.500 0.500 0.283
Ho: 0.500 0.500 0.717
Sb: 0.000 0.000 0.500


# 3
Material: CaEuZn
Method: DFT, PBE
State: relaxed

Values from the calculation:
The value obtained for the total magnetic moment is 8.11 μB per formula unit. The value obtained for the formation energy is -0.10 eV per formula unit. The density comes out at 4.1 g cm⁻³. The density of states at the Fermi level comes out at 2.95 states/eV/cell. As for the energy above the most stable polymorph in this dataset: 142.8 meV per atom.

Lattice parameters (Å, degrees): 5.262 5.262 5.262 60.00 60.00 60.00
Fractional positions:
Ca: 0.000 0.000 0.000
Eu: 0.500 0.500 0.500
Zn: 0.750 0.750 0.750


# 4
Material: Sr2Ge3Pd4Pt
Method: DFT, PBE
State: relaxed

Values from the calculation:
The value obtained for the total magnetic moment is 0.00 μB per formula unit. The value obtained for the formation energy is -6.41 eV per formula unit. The density comes out at 8.3 g cm⁻³. The density of states at the Fermi level comes out at 6.03 states/eV/cell.

Lattice parameters (Å, degrees): 4.417 4.417 10.409 90.00 90.00 90.00
Fractional positions:
Sr: 0.000 0.500 0.243
Sr: 0.500 0.000 0.757
Ge: 0.000 0.000 0.000
Ge: 0.000 0.500 0.618
Ge: 0.500 0.000 0.382
Pd: 0.000 0.000 0.500
Pd: 0.000 0.500 0.855
Pd: 0.500 0.000 0.145
Pd: 0.500 0.500 0.500
Pt: 0.500 0.500 0.000


# 5
Material: TbCe3Ho2Sb6
Method: DFT, PBE
State: relaxed

Values from the calculation:
The value obtained for the total magnetic moment is 2.40 μB per formula unit. The density comes out at 7.3 g cm⁻³. The density of states at the Fermi level comes out at 20.03 states/eV/cell. The raw total energy comes out at -69.350 eV per cell.

Lattice parameters (Å, degrees): 7.693 7.693 7.687 99.61 99.61 119.99
Fractional positions:
Tb: 0.000 0.000 0.000
Ce: 0.166 0.834 0.500
Ce: 0.500 0.500 0.500
Ce: 0.834 0.166 0.500
Ho: 0.333 0.667 0.000
Ho: 0.667 0.333 0.000
Sb: 0.081 0.416 0.243
Sb: 0.254 0.254 0.757
Sb: 0.416 0.081 0.243
Sb: 0.584 0.919 0.757
Sb: 0.746 0.746 0.243
Sb: 0.919 0.584 0.757


# 6
Material: Ta2FeSb
Method: DFT, PBE
State: relaxed

Values from the calculation:
The value obtained for the total magnetic moment is 1.40 μB per formula unit. The density comes out at 12.9 g cm⁻³. The density of states at the Fermi level comes out at 2.81 states/eV/cell. The raw total energy comes out at -35.657 eV per cell.

Lattice parameters (Å, degrees): 3.056 4.052 5.622 90.00 96.27 90.00
Fractional positions:
Ta: 0.065 0.000 0.274
Ta: 0.935 0.000 0.726
Fe: 0.500 0.500 0.500
Sb: 0.500 0.500 0.000